Material: Pr2FeNiO6
Method: DFT, PBE with a Hubbard U
State: relaxed

POSCAR file:
```
Pr2FeNiO6
1.0
5.492 0.000 0.000
0.000 5.582 0.000
-5.490 0.000 7.711
Pr Fe Ni O
4 2 2 12
direct
0.238 0.047 0.250 Pr
0.238 0.453 0.750 Pr
0.762 0.547 0.250 Pr
0.762 0.953 0.750 Pr
0.500 0.000 0.000 Fe
0.500 0.500 0.500 Fe
0.000 0.000 0.500 Ni
0.000 0.500 0.000 Ni
0.176 0.207 0.959 O
0.176 0.293 0.459 O
0.250 0.717 0.957 O
0.250 0.783 0.457 O
0.337 0.015 0.759 O
0.337 0.485 0.259 O
0.663 0.515 0.741 O
0.663 0.985 0.241 O
0.750 0.217 0.543 O
0.750 0.283 0.043 O
0.824 0.707 0.541 O
0.824 0.793 0.041 O
```

Calculated values
**Volume**: 11.82 A^3/atom
**Final energy**: -139.43 eV for the cell shown